The following is a GGA-PBEsol calculation of an optimized crystal structure of MgFeP2, from Alexandria via LeMat-Bulk.

Its formation energy is 79 meV per atom. The volume comes out at 13.5 Å³ per atom.

Unit cell a=3.295 b=4.084 c=4.016 alpha=90.00 beta=90.00 gamma=90.00
Atoms (fractional coordinates):
Fe1 0.500 0.500 0.000
Mg1 0.500 0.000 0.500
P1 0.000 0.000 0.000
P2 0.000 0.500 0.500